Record 1
# Rb2PuCd2Se4 PBE optimized geometry
# Formation energy (no corrections) = -8.87 eV per formula unit
data_Rb2PuCd2Se4
_chemical_formula_sum 'Rb4 Pu2 Cd4 Se8'
_symmetry_space_group_name_H-M 'C 1 2/m 1'
_symmetry_Int_Tables_number 12
_symmetry_space_group_name_Hall '-C 2y'
_cell_length_a 16.390
_cell_length_b 4.413
_cell_length_c 8.308
_cell_angle_alpha 90.00
_cell_angle_beta 108.38
_cell_angle_gamma 90.00
loop_
_atom_site_label
_atom_site_type_symbol
_atom_site_fract_x
_atom_site_fract_y
_atom_site_fract_z
_atom_site_occupancy
Rb1 Rb 0.127 0.000 0.053 1
Pu1 Pu 0.000 0.000 0.500 1
Cd1 Cd 0.171 0.500 0.481 1
Se1 Se 0.013 0.500 0.264 1
Se2 Se 0.203 0.000 0.687 1

---

Record 2
# Rb4Pu3CdSe8 PBE optimized geometry
# Formation energy (no corrections) = -20.31 eV per formula unit
data_Rb4Pu3CdSe8
_chemical_formula_sum 'Rb12 Pu9 Cd3 Se24'
_symmetry_space_group_name_H-M 'R -3 m'
_symmetry_Int_Tables_number 166
_symmetry_space_group_name_Hall '-R 3 2"'
_cell_length_a 8.5870
_cell_length_b 8.5870
_cell_length_c 23.8047
_cell_angle_alpha 90.00
_cell_angle_beta 90.00
_cell_angle_gamma 120.00
loop_
_atom_site_label
_atom_site_type_symbol
_atom_site_fract_x
_atom_site_fract_y
_atom_site_fract_z
_atom_site_occupancy
Rb1 Rb 0.0000 0.0000 0.0000 1
Rb2 Rb 0.0000 0.5000 0.0000 1
Pu1 Pu 0.0000 0.5000 0.5000 1
Cd1 Cd 0.0000 0.0000 0.5000 1
Se1 Se 0.0000 0.0000 0.2312 1
Se2 Se 0.0039 0.5020 0.7690 1

---

Record 3
# Rb2PuCdSe4 PBE optimized geometry
# Formation energy (no corrections) = -8.61 eV per formula unit
data_Rb2PuCdSe4
_chemical_formula_sum 'Rb2 Pu1 Cd1 Se4'
_symmetry_space_group_name_H-M 'P 1 2/m 1'
_symmetry_Int_Tables_number 10
_symmetry_space_group_name_Hall '-P 2y'
_cell_length_a 7.433
_cell_length_b 4.249
_cell_length_c 8.355
_cell_angle_alpha 90.00
_cell_angle_beta 108.74
_cell_angle_gamma 90.00
loop_
_atom_site_label
_atom_site_type_symbol
_atom_site_fract_x
_atom_site_fract_y
_atom_site_fract_z
_atom_site_occupancy
Rb1 Rb 0.000 0.000 0.000 1
Rb2 Rb 0.500 0.500 0.000 1
Pu1 Pu 0.000 0.500 0.500 1
Cd1 Cd 0.500 0.000 0.500 1
Se1 Se 0.214 0.000 0.700 1
Se2 Se 0.268 0.500 0.317 1

---

Record 4
# Rb3Pu2CdSe6 PBE optimized geometry
# Formation energy (no corrections) = -14.52 eV per formula unit
data_Rb3Pu2CdSe6
_chemical_formula_sum 'Rb6 Pu4 Cd2 Se12'
_symmetry_space_group_name_H-M 'C 1 2/m 1'
_symmetry_Int_Tables_number 12
_symmetry_space_group_name_Hall '-C 2y'
_cell_length_a 7.394
_cell_length_b 12.808
_cell_length_c 8.325
_cell_angle_alpha 90.00
_cell_angle_beta 107.12
_cell_angle_gamma 90.00
loop_
_atom_site_label
_atom_site_type_symbol
_atom_site_fract_x
_atom_site_fract_y
_atom_site_fract_z
_atom_site_occupancy
Rb1 Rb 0.000 0.000 0.000 1
Rb2 Rb 0.000 0.337 0.000 1
Pu1 Pu 0.000 0.167 0.500 1
Cd1 Cd 0.000 0.500 0.500 1
Se1 Se 0.225 0.000 0.693 1
Se2 Se 0.235 0.330 0.695 1

---

Record 5
# Rb2PuCd2Te4 PBE optimized geometry
# Formation energy (no corrections) = -7.17 eV per formula unit
data_Rb2PuCd2Te4
_chemical_formula_sum 'Rb4 Pu2 Cd4 Te8'
_symmetry_space_group_name_H-M 'C 1 2/m 1'
_symmetry_Int_Tables_number 12
_symmetry_space_group_name_Hall '-C 2y'
_cell_length_a 17.080
_cell_length_b 4.716
_cell_length_c 8.769
_cell_angle_alpha 90.00
_cell_angle_beta 107.98
_cell_angle_gamma 90.00
loop_
_atom_site_label
_atom_site_type_symbol
_atom_site_fract_x
_atom_site_fract_y
_atom_site_fract_z
_atom_site_occupancy
Rb1 Rb 0.127 0.000 0.062 1
Pu1 Pu 0.000 0.000 0.500 1
Cd1 Cd 0.168 0.500 0.482 1
Te1 Te 0.008 0.500 0.255 1
Te2 Te 0.203 0.000 0.687 1

---

Record 6
# Rb3Pu3CdTe8 PBE optimized geometry
# Formation energy (no corrections) = -13.25 eV per formula unit
data_Rb3Pu3CdTe8
_chemical_formula_sum 'Rb6 Pu6 Cd2 Te16'
_symmetry_space_group_name_H-M 'C 1 2/m 1'
_symmetry_Int_Tables_number 12
_symmetry_space_group_name_Hall '-C 2y'
_cell_length_a 15.556
_cell_length_b 9.015
_cell_length_c 10.063
_cell_angle_alpha 90.00
_cell_angle_beta 120.88
_cell_angle_gamma 90.00
loop_
_atom_site_label
_atom_site_type_symbol
_atom_site_fract_x
_atom_site_fract_y
_atom_site_fract_z
_atom_site_occupancy
Rb1 Rb 0.000 0.000 0.000 1
Rb2 Rb 0.250 0.250 0.000 1
Pu1 Pu 0.000 0.500 0.500 1
Pu2 Pu 0.250 0.250 0.500 1
Cd1 Cd 0.000 0.000 0.500 1
Te1 Te 0.020 0.255 0.305 1
Te2 Te 0.231 0.000 0.693 1
Te3 Te 0.233 0.500 0.699 1

---

Record 7
# Pu12CdRh7 PBE optimized geometry
# DFT formation energy = -0.089 eV/atom
data_Pu12CdRh7
_chemical_formula_sum 'Pu24 Cd2 Rh14'
_symmetry_space_group_name_H-M 'I m -3'
_symmetry_Int_Tables_number 204
_symmetry_space_group_name_Hall '-I 2 2 3'
_cell_length_a 10.218
_cell_length_b 10.218
_cell_length_c 10.218
_cell_angle_alpha 90.00
_cell_angle_beta 90.00
_cell_angle_gamma 90.00
loop_
_atom_site_label
_atom_site_type_symbol
_atom_site_fract_x
_atom_site_fract_y
_atom_site_fract_z
_atom_site_occupancy
Pu1 Pu 0.000 0.315 0.189 1
Cd1 Cd 0.000 0.000 0.000 1
Rh1 Rh 0.000 0.000 0.500 1
Rh2 Rh 0.250 0.250 0.250 1

---

Record 8
# Pu2CdRh PBE optimized geometry
# Energy relative to the lowest polymorph listed for this composition = 184 meV per atom
# DFT formation energy = -0.057 eV/atom
data_Pu2CdRh
_chemical_formula_sum 'Pu8 Cd4 Rh4'
_symmetry_space_group_name_H-M 'F m -3 m'
_symmetry_Int_Tables_number 225
_symmetry_space_group_name_Hall '-F 4 2 3'
_cell_length_a 7.180
_cell_length_b 7.180
_cell_length_c 7.180
_cell_angle_alpha 90.00
_cell_angle_beta 90.00
_cell_angle_gamma 90.00
loop_
_atom_site_label
_atom_site_type_symbol
_atom_site_fract_x
_atom_site_fract_y
_atom_site_fract_z
_atom_site_occupancy
Pu1 Pu 0.250 0.250 0.250 1
Cd1 Cd 0.000 0.000 0.000 1
Rh1 Rh 0.000 0.000 0.500 1

---

Record 9
# Pu2CdRh PBE optimized geometry
# Energy relative to the lowest polymorph listed for this composition = 0 meV per atom
# DFT formation energy = -0.242 eV/atom
data_Pu2CdRh
_chemical_formula_sum 'Pu2 Cd1 Rh1'
_symmetry_space_group_name_H-M 'P 4/m m m'
_symmetry_Int_Tables_number 123
_symmetry_space_group_name_Hall '-P 4 2'
_cell_length_a 3.304
_cell_length_b 3.304
_cell_length_c 8.501
_cell_angle_alpha 90.00
_cell_angle_beta 90.00
_cell_angle_gamma 90.00
loop_
_atom_site_label
_atom_site_type_symbol
_atom_site_fract_x
_atom_site_fract_y
_atom_site_fract_z
_atom_site_occupancy
Pu1 Pu 0.000 0.000 0.209 1
Cd1 Cd 0.500 0.500 0.500 1
Rh1 Rh 0.500 0.500 0.000 1

---

Record 10
# Pu2CdRh PBE optimized geometry
# Energy relative to the lowest polymorph listed for this composition = 413 meV per atom
# DFT formation energy = 0.171 eV/atom
data_Pu2CdRh
_chemical_formula_sum 'Pu6 Cd3 Rh3'
_symmetry_space_group_name_H-M 'R -3 m'
_symmetry_Int_Tables_number 166
_symmetry_space_group_name_Hall '-R 3 2"'
_cell_length_a 2.9836
_cell_length_b 2.9836
_cell_length_c 34.1113
_cell_angle_alpha 90.00
_cell_angle_beta 90.00
_cell_angle_gamma 120.00
loop_
_atom_site_label
_atom_site_type_symbol
_atom_site_fract_x
_atom_site_fract_y
_atom_site_fract_z
_atom_site_occupancy
Pu1 Pu 0.0000 0.0000 0.0964 1
Cd1 Cd 0.0000 0.0000 0.0000 1
Rh1 Rh 0.0000 0.0000 0.5000 1

---

Record 11
# PuCdRh PBE optimized geometry
# DFT formation energy = -0.304 eV/atom
data_PuCdRh
_chemical_formula_sum 'Pu2 Cd2 Rh2'
_symmetry_space_group_name_H-M 'P 4/n m m'
_symmetry_Int_Tables_number 129
_cell_length_a 4.032
_cell_length_b 4.032
_cell_length_c 7.799
_cell_angle_alpha 90.00
_cell_angle_beta 90.00
_cell_angle_gamma 90.00
loop_
_symmetry_equiv_pos_as_xyz
'x,y,z'
'-x,-y,-z'
'-y+1/2,x,z'
'y+1/2,-x,-z'
'-x+1/2,-y+1/2,z'
'x+1/2,y+1/2,-z'
'y,-x+1/2,z'
'-y,x+1/2,-z'
'x+1/2,-y,-z'
'-x+1/2,y,z'
'-y,-x,-z'
'y,x,z'
'-x,y+1/2,-z'
'x,-y+1/2,z'
'y+1/2,x+1/2,-z'
'-y+1/2,-x+1/2,z'
loop_
_atom_site_label
_atom_site_type_symbol
_atom_site_fract_x
_atom_site_fract_y
_atom_site_fract_z
_atom_site_occupancy
Pu1 Pu 0.250 0.250 0.146 1
Cd1 Cd 0.250 0.750 0.500 1
Rh1 Rh 0.250 0.250 0.778 1